[1]
Compound: ScCdNO
Source: OQMD
Functional: PBE
Structure: optimized geometry

The calculation puts the offset from the most stable computed form at 0.0640 eV/atom. The magnetization is 0.00 μB per formula unit. The value obtained for the total energy is -6.509 eV/atom.

It has space group P4/nmm (No. 129, origin choice 2), with a = 4.629 Å, b = 4.629 Å, c = 4.570 Å, α = 90.00°, β = 90.00° and γ = 90.00°. The distinct sites, in fractional coordinates, are Sc at (0.250, 0.750, 0.000), Cd at (0.250, 0.250, 0.495), N at (0.250, 0.250, 0.996) and O at (0.250, 0.750, 0.500).

***

[2]
Compound: ScCdNO
Source: OQMD
Functional: PBE
Structure: optimized geometry

The calculation puts the offset from the most stable computed form at 0.0326 eV/atom. The magnetization is 0.00 μB per formula unit. The value obtained for the total energy is -6.540 eV/atom.

It has space group Pca2_1 (No. 29), with a = 6.058 Å, b = 7.203 Å, c = 5.739 Å, α = 90.00°, β = 90.00° and γ = 90.00°. The distinct sites, in fractional coordinates, are Sc at (0.091, 0.117, 0.000), Cd at (0.119, 0.601, 0.986), N at (0.043, 0.654, 0.617) and O at (0.100, 0.091, 0.641).

***

[3]
Compound: ScCdNO
Source: OQMD
Functional: PBE
Structure: optimized geometry

The calculation puts the offset from the most stable computed form at 0.4028 eV/atom. The magnetization is 0.00 μB per formula unit. The value obtained for the total energy is -6.170 eV/atom.

It has space group P4/nmm (No. 129, origin choice 2), with a = 3.776 Å, b = 3.776 Å, c = 7.566 Å, α = 90.00°, β = 90.00° and γ = 90.00°. The distinct sites, in fractional coordinates, are Sc at (0.250, 0.250, 0.120), Cd at (0.250, 0.750, 0.500), N at (0.250, 0.250, 0.694) and O at (0.250, 0.750, 0.000).

***

[4]
Compound: ScCdNO
Source: OQMD
Functional: PBE
Structure: optimized geometry

The calculation puts the offset from the most stable computed form at 0.0000 eV/atom. The magnetization is 0.00 μB per formula unit. The value obtained for the total energy is -6.573 eV/atom.

It has space group Pmc2_1 (No. 26), with a = 3.494 Å, b = 6.111 Å, c = 5.690 Å, α = 90.00°, β = 90.00° and γ = 90.00°. The distinct sites, in fractional coordinates, are Sc at (0.000, 0.164, 0.000), Cd at (0.500, 0.348, 0.508), N at (0.500, 0.309, 0.893) and O at (0.000, 0.140, 0.357).

***

Which value of magnetization does entry 4 give? 0.00 μB per formula unit